Entry 1:
ZrRhF2 | GGA-PBE | optimized geometry

Cell: 8.0756 8.0756 8.0756 Å, 152.98 152.98 38.58°
Closest atoms and distances in Å follow each position.
Atoms (fractional coordinates):
Zr: 0.0000 0.0000 0.0000  4 F 2.26
Zr: 0.7500 0.2500 0.5000  4 F 2.26
Rh: 0.2500 0.7500 0.5000  4 F 2.40, 4 Zr 2.67
Rh: 0.5000 0.5000 0.0000  4 F 2.40, 4 Zr 2.67
F: 0.0802 0.6250 0.9552  2 Zr 2.26, 2 Rh 2.40, 2 F 2.44
F: 0.3750 0.3302 0.4552  2 Zr 2.26, 2 Rh 2.40, 2 F 2.44
F: 0.6698 0.1250 0.0448  2 Zr 2.26, 2 Rh 2.40, 2 F 2.44
F: 0.8750 0.9198 0.5448  2 Zr 2.26, 2 Rh 2.40, 2 F 2.44

polymorph energy (0 for the lowest one): 0 meV per atom
total DFT energy (no corrections): -6.494 eV per atom
calculated volume: 13.6 Å³/atom
symmetry: I-42d
formation energy (no corrections): -152.8 kJ/mol of atoms

Entry 2:
Ru2F13 | GGA-PBE | optimized geometry

Cell: 5.0874 6.5962 7.6555 Å, 65.03 81.38 79.48°
Closest atoms and distances in Å follow each position.
Atoms (fractional coordinates):
Ru: 0.1740 0.1258 0.2256  6 F 1.84-2.03
Ru: 0.8260 0.8742 0.7744  6 F 1.84-2.03
F: 0.0000 0.0000 0.5000  2 Ru 2.03
F: 0.0942 0.8756 0.2007  1 Ru 1.86
F: 0.1575 0.7178 0.8594  1 Ru 1.86
F: 0.2358 0.3691 0.2690  1 Ru 1.86
F: 0.3372 0.2363 0.9781  1 Ru 1.84
F: 0.3785 0.5033 0.5591  1 F 1.42
F: 0.4952 0.9651 0.3267  1 Ru 1.86
F: 0.5048 0.0349 0.6733  1 Ru 1.86
F: 0.6215 0.4967 0.4409  1 F 1.42
F: 0.6628 0.7637 0.0219  1 Ru 1.84
F: 0.7642 0.6309 0.7310  1 Ru 1.86
F: 0.8425 0.2822 0.1406  1 Ru 1.86
F: 0.9058 0.1244 0.7993  1 Ru 1.86

total DFT energy (no corrections): -4.239 eV per atom
calculated volume: 15.2 Å³/atom
symmetry: P-1
formation energy (no corrections): -133.2 kJ/mol of atoms

Entry 3:
Ru3F | GGA-PBE | optimized geometry

Cell: 4.2175 4.2175 4.2175 Å, 60.00 60.00 60.00°
Closest atoms and distances in Å follow each position.
Atoms (fractional coordinates):
Ru: 0.0000 0.0000 0.0000  8 Ru 2.58
Ru: 0.2500 0.2500 0.2500  4 F 2.58, 4 Ru 2.58
Ru: 0.7500 0.7500 0.7500  4 F 2.58, 4 Ru 2.58
F: 0.5000 0.5000 0.5000  8 Ru 2.58

total DFT energy (no corrections): -7.073 eV per atom
calculated volume: 13.3 Å³/atom
symmetry: Fm-3m
formation energy (no corrections): 34.0 kJ/mol of atoms

Entry 4:
RuF3 | GGA-PBE | optimized geometry

Cell: 5.2881 5.2881 7.4418 Å, 92.24 92.24 140.95°
Closest atoms and distances in Å follow each position.
Atoms (fractional coordinates):
Ru: 0.0000 0.0000 0.0000  4 F 1.92-2.03
Ru: 0.0000 0.0000 0.5000  4 F 1.92-2.03
F: 0.0821 0.9179 0.7500  2 Ru 2.03
F: 0.2613 0.5064 0.9395  1 Ru 1.92
F: 0.4936 0.7387 0.5605  1 Ru 1.92
F: 0.5064 0.2613 0.4395  1 Ru 1.92
F: 0.7387 0.4936 0.0605  1 Ru 1.92
F: 0.9179 0.0821 0.2500  2 Ru 2.03

total DFT energy (no corrections): -5.083 eV per atom
calculated volume: 16.3 Å³/atom
symmetry: C2/c
formation energy (no corrections): -131.2 kJ/mol of atoms

Entry 5:
RuF5 | GGA-PBE | optimized geometry

Cell: 4.7732 4.7732 4.7732 Å, 100.25 100.25 130.11°
Closest atoms and distances in Å follow each position.
Atoms (fractional coordinates):
Ru: 0.0000 0.0000 0.0000  6 F 1.86-2.01
F: 0.0912 0.7100 0.8012  1 Ru 1.86
F: 0.2900 0.0912 0.3812  1 Ru 1.86
F: 0.5000 0.5000 0.0000  2 Ru 2.01
F: 0.7100 0.9088 0.6188  1 Ru 1.86
F: 0.9088 0.2900 0.1988  1 Ru 1.86

polymorph energy (0 for the lowest one): 107 meV per atom
total DFT energy (no corrections): -4.661 eV per atom
calculated volume: 12.6 Å³/atom
symmetry: I4/m
formation energy (no corrections): -150.1 kJ/mol of atoms

Entry 6:
RuF5 | GGA-PBE | optimized geometry

Cell: 5.7131 10.2501 12.9446 Å, 90.00 100.70 90.00°
Closest atoms and distances in Å follow each position.
Atoms (fractional coordinates):
Ru: 0.0053 0.2477 0.4972  6 F 1.84-2.04
Ru: 0.0053 0.2523 0.9972  6 F 1.84-2.04
Ru: 0.2992 0.5017 0.6980  6 F 1.84-2.05
Ru: 0.2992 0.9983 0.1980  6 F 1.84-2.05
Ru: 0.7008 0.0017 0.8020  6 F 1.84-2.05
Ru: 0.7008 0.4983 0.3020  6 F 1.84-2.05
Ru: 0.9947 0.7477 0.0028  6 F 1.84-2.04
Ru: 0.9947 0.7523 0.5028  6 F 1.84-2.04
F: 0.0262 0.5683 0.7394  1 Ru 1.87
F: 0.0262 0.9317 0.2394  1 Ru 1.87
F: 0.0925 0.6673 0.1309  1 Ru 1.84
F: 0.0925 0.8327 0.6309  1 Ru 1.84
F: 0.0925 0.1524 0.1354  2 Ru 2.04-2.05
F: 0.0925 0.3476 0.6354  2 Ru 2.04-2.05
F: 0.1901 0.1092 0.5545  1 Ru 1.84
F: 0.1901 0.3908 0.0545  1 Ru 1.84
F: 0.1934 0.5923 0.5567  2 Ru 2.04
F: 0.1934 0.9077 0.0567  2 Ru 2.04
F: 0.2599 0.6860 0.9524  1 Ru 1.87
F: 0.2599 0.8140 0.4524  1 Ru 1.87
F: 0.2631 0.1721 0.9526  1 Ru 1.87
F: 0.2631 0.3279 0.4526  1 Ru 1.87
F: 0.3848 0.0905 0.3213  1 Ru 1.84
F: 0.3848 0.4095 0.8213  1 Ru 1.84
F: 0.4505 0.5697 0.3577  1 Ru 1.87
F: 0.4505 0.9303 0.8577  1 Ru 1.87
F: 0.4746 0.6468 0.7474  1 Ru 1.84
F: 0.4746 0.8532 0.2474  1 Ru 1.84
F: 0.5254 0.1468 0.7526  1 Ru 1.84
F: 0.5254 0.3532 0.2526  1 Ru 1.84
F: 0.5495 0.0697 0.1423  1 Ru 1.87
F: 0.5495 0.4303 0.6423  1 Ru 1.87
F: 0.6152 0.5905 0.1787  1 Ru 1.84
F: 0.6152 0.9095 0.6787  1 Ru 1.84
F: 0.7369 0.6721 0.5474  1 Ru 1.87
F: 0.7369 0.8279 0.0474  1 Ru 1.87
F: 0.7401 0.1860 0.5476  1 Ru 1.87
F: 0.7401 0.3140 0.0476  1 Ru 1.87
F: 0.8066 0.0923 0.9433  2 Ru 2.04
F: 0.8066 0.4077 0.4433  2 Ru 2.04
F: 0.8099 0.6092 0.9455  1 Ru 1.84
F: 0.8099 0.8908 0.4455  1 Ru 1.84
F: 0.9075 0.6524 0.3646  2 Ru 2.04-2.05
F: 0.9075 0.8476 0.8646  2 Ru 2.04-2.05
F: 0.9075 0.1673 0.3691  1 Ru 1.84
F: 0.9075 0.3327 0.8691  1 Ru 1.84
F: 0.9738 0.0683 0.7606  1 Ru 1.87
F: 0.9738 0.4317 0.2606  1 Ru 1.87

polymorph energy (0 for the lowest one): 0 meV per atom
total DFT energy (no corrections): -4.768 eV per atom
calculated volume: 15.5 Å³/atom
symmetry: P2_1/c
formation energy (no corrections): -160.4 kJ/mol of atoms

The highest formation energy (no corrections) belongs to which entry? Ru3F